#one
First-principles (GGA-PBE) data for a geometry-optimized CaVH structure, as listed in Alexandria.

```
data_CaVH
_chemical_formula_sum 'Ca2 V2 H2'
_space_group_name_H-M_alt 'P 63/m m c'
_space_group_IT_number 194
_space_group_name_Hall '-P 6c 2c'
_cell_length_a 4.9109
_cell_length_b 4.9109
_cell_length_c 6.4293
_cell_angle_alpha 90.00
_cell_angle_beta 90.00
_cell_angle_gamma 120.00
loop_
_atom_site_label
_atom_site_fract_x
_atom_site_fract_y
_atom_site_fract_z
Ca1 0.3333 0.6667 0.2500
V1 0.3333 0.6667 0.7500
H1 0.0000 0.0000 0.2500
```

Computed properties:
**DOS(E_F)**: 1.087 states/eV/atom

#two
First-principles (GGA-PBE) data for a geometry-optimized CaVH structure, as listed in Alexandria.

```
data_CaVH
_chemical_formula_sum 'Ca2 V2 H2'
_space_group_name_H-M_alt 'P 1 m 1'
_space_group_IT_number 6
_space_group_name_Hall 'P -2y'
_cell_length_a 3.3745
_cell_length_b 3.3393
_cell_length_c 8.8963
_cell_angle_alpha 90.00
_cell_angle_beta 92.31
_cell_angle_gamma 90.00
loop_
_atom_site_label
_atom_site_fract_x
_atom_site_fract_y
_atom_site_fract_z
Ca1 0.0000 0.0000 0.0000
Ca2 0.4669 0.5000 0.6148
V1 0.4498 0.5000 0.2691
V2 0.9348 0.0000 0.3630
H1 0.5850 0.0000 0.1940
H2 0.9600 0.0000 0.5706
```

Computed properties:
**DOS(E_F)**: 0.547 states/eV/atom

Which of them is least stable? Easy: #one.

#one
First-principles (GGA-PBE) data for a geometry-optimized BeC structure, as listed in Alexandria.

```
data_BeC
_chemical_formula_sum 'Be6 C6'
_space_group_name_H-M_alt 'P m m n'
_space_group_IT_number 59
_cell_length_a 3.1936
_cell_length_b 8.9964
_cell_length_c 3.4415
_cell_angle_alpha 90.00
_cell_angle_beta 90.00
_cell_angle_gamma 90.00
loop_
_space_group_symop_operation_xyz
'x,y,z'
'-x,-y,-z'
'-x+1/2,-y+1/2,z'
'x+1/2,y+1/2,-z'
'x+1/2,-y,-z'
'-x+1/2,y,z'
'-x,y+1/2,-z'
'x,-y+1/2,z'
loop_
_atom_site_label
_atom_site_fract_x
_atom_site_fract_y
_atom_site_fract_z
Be1 0.2500 0.0018 0.2348
Be2 0.2500 0.2500 0.4121
C1 0.2500 0.1028 0.7354
C2 0.2500 0.2500 0.9223
```

Computed properties:
**DOS(E_F)**: 0.155 states/eV/atom

#two
First-principles (GGA-PBE) data for a geometry-optimized BeC structure, as listed in Alexandria.

```
data_BeC
_chemical_formula_sum 'Be6 C6'
_space_group_name_H-M_alt 'R -3 m'
_space_group_IT_number 166
_space_group_name_Hall '-R 3 2"'
_cell_length_a 3.0401
_cell_length_b 3.0401
_cell_length_c 14.6890
_cell_angle_alpha 90.00
_cell_angle_beta 90.00
_cell_angle_gamma 120.00
loop_
_atom_site_label
_atom_site_fract_x
_atom_site_fract_y
_atom_site_fract_z
Be1 0.0000 0.0000 0.0923
C1 0.0000 0.0000 0.4521
```

Computed properties:
**DOS(E_F)**: 0.374 states/eV/atom

Which of them is least stable? Easy: #two.

#one
First-principles (GGA-PBE) data for a geometry-optimized Ba2MnMo structure, as listed in Alexandria.

```
data_Ba2MnMo
_chemical_formula_sum 'Ba6 Mn3 Mo3'
_space_group_name_H-M_alt 'R -3 m'
_space_group_IT_number 166
_space_group_name_Hall '-R 3 2"'
_cell_length_a 3.6075
_cell_length_b 3.6075
_cell_length_c 31.9652
_cell_angle_alpha 90.00
_cell_angle_beta 90.00
_cell_angle_gamma 120.00
loop_
_atom_site_label
_atom_site_fract_x
_atom_site_fract_y
_atom_site_fract_z
Ba1 0.0000 0.0000 0.2459
Mn1 0.0000 0.0000 0.0000
Mo1 0.0000 0.0000 0.5000
```

Computed properties:
**DOS(E_F)**: 0.936 states/eV/atom

#two
First-principles (GGA-PBE) data for a geometry-optimized Ba2MnMo structure, as listed in Alexandria.

```
data_Ba2MnMo
_chemical_formula_sum 'Ba2 Mn1 Mo1'
_space_group_name_H-M_alt 'P 1 m 1'
_space_group_IT_number 6
_space_group_name_Hall 'P -2y'
_cell_length_a 3.4854
_cell_length_b 3.5464
_cell_length_c 10.0072
_cell_angle_alpha 90.00
_cell_angle_beta 99.96
_cell_angle_gamma 90.00
loop_
_atom_site_label
_atom_site_fract_x
_atom_site_fract_y
_atom_site_fract_z
Ba1 0.0000 0.0000 0.0000
Ba2 0.2017 0.5000 0.4014
Mn1 0.3718 0.5000 0.7409
Mo1 0.8381 0.0000 0.6733
```

Computed properties:
**DOS(E_F)**: 1.422 states/eV/atom

Which of them is least stable? Easy: #one.